# 1
A plane-wave DFT calculation with PBE-GGA was carried out for an optimized crystal structure of LiMgBN2.

```
data_LiMgBN2
_chemical_formula_sum 'Li2 Mg2 B2 N4'
_space_group_name_H-M_alt 'P c c m'
_space_group_IT_number 49
_cell_length_a 4.258
_cell_length_b 4.751
_cell_length_c 5.725
_cell_angle_alpha 90.00
_cell_angle_beta 90.00
_cell_angle_gamma 90.00
loop_
_space_group_symop_operation_xyz
'x,y,z'
'-x,-y,-z'
'-x,-y,z'
'x,y,-z'
'x,-y,-z+1/2'
'-x,y,z+1/2'
'-x,y,-z+1/2'
'x,-y,z+1/2'
loop_
_atom_site_label
_atom_site_type_symbol
_atom_site_fract_x
_atom_site_fract_y
_atom_site_fract_z
Li1 Li 0.000 0.000 0.250
Mg1 Mg 0.500 0.500 0.250
B1 B 0.500 0.000 0.000
N1 N 0.304 0.223 0.000
```

Results
theoretical density = 2.0 g/cm³
offset from the most stable computed form = 0.095 eV/atom
M_tot = 0.000 Bohr magnetons per cell
E_form (uncorrected) = -850 meV per atom
E_tot = -62.2 eV per cell


# 2
A plane-wave DFT calculation with PBE-GGA was carried out for an optimized crystal structure of CsTl2RhF8.

```
data_CsTl2RhF8
_chemical_formula_sum 'Cs1 Tl2 Rh1 F8'
_space_group_name_H-M_alt 'P -1'
_space_group_IT_number 2
_cell_length_a 5.079
_cell_length_b 5.841
_cell_length_c 8.034
_cell_angle_alpha 89.26
_cell_angle_beta 81.89
_cell_angle_gamma 77.02
loop_
_space_group_symop_operation_xyz
'x,y,z'
'-x,-y,-z'
loop_
_atom_site_label
_atom_site_type_symbol
_atom_site_fract_x
_atom_site_fract_y
_atom_site_fract_z
Cs1 Cs 0.000 0.000 0.000
Tl1 Tl 0.427 0.481 0.256
Rh1 Rh 0.000 0.000 0.500
F1 F 0.036 0.234 0.667
F2 F 0.130 0.189 0.313
F3 F 0.364 0.795 0.504
F4 F 0.416 0.308 0.984
```

Results
theoretical density = 5.8 g/cm³
M_tot = 0.000 Bohr magnetons per cell
E_form (uncorrected) = -1855 meV per atom
E_tot = -50.2 eV per cell


# 3
A plane-wave DFT calculation with PBE-GGA was carried out for an optimized crystal structure of HgAu4Cl.

```
data_HgAu4Cl
_chemical_formula_sum 'Hg4 Au16 Cl4'
_space_group_name_H-M_alt 'F -4 3 m'
_space_group_IT_number 216
_space_group_name_Hall 'F -4 2 3'
_cell_length_a 7.943
_cell_length_b 7.943
_cell_length_c 7.943
_cell_angle_alpha 90.00
_cell_angle_beta 90.00
_cell_angle_gamma 90.00
loop_
_atom_site_label
_atom_site_type_symbol
_atom_site_fract_x
_atom_site_fract_y
_atom_site_fract_z
Hg1 Hg 0.000 0.000 0.000
Au1 Au 0.125 0.125 0.625
Cl1 Cl 0.250 0.250 0.250
```

Results
theoretical density = 13.6 g/cm³
M_tot = 0.000 Bohr magnetons per cell
E_form (uncorrected) = 104 meV per atom
E_tot = -58.5 eV per cell


# 4
A plane-wave DFT calculation with PBE-GGA was carried out for an optimized crystal structure of Tm6SbPt2Se3.

```
data_Tm6SbPt2Se3
_chemical_formula_sum 'Tm12 Sb2 Pt4 Se6'
_space_group_name_H-M_alt 'C 1 2/m 1'
_space_group_IT_number 12
_cell_length_a 18.235
_cell_length_b 4.038
_cell_length_c 8.376
_cell_angle_alpha 90.00
_cell_angle_beta 106.65
_cell_angle_gamma 90.00
loop_
_space_group_symop_operation_xyz
'x,y,z'
'-x,-y,-z'
'-x,y,-z'
'x,-y,z'
'x+1/2,y+1/2,z'
'-x+1/2,-y+1/2,-z'
'-x+1/2,y+1/2,-z'
'x+1/2,-y+1/2,z'
loop_
_atom_site_label
_atom_site_type_symbol
_atom_site_fract_x
_atom_site_fract_y
_atom_site_fract_z
Tm1 Tm 0.012 0.000 0.265
Tm2 Tm 0.167 0.500 0.587
Tm3 Tm 0.174 0.500 0.126
Sb1 Sb 0.000 0.500 0.000
Pt1 Pt 0.174 0.000 0.360
Se1 Se 0.000 0.500 0.500
Se2 Se 0.160 0.000 0.850
```

Results
theoretical density = 9.9 g/cm³
M_tot = 0.000 Bohr magnetons per cell
E_form (uncorrected) = -1426 meV per atom
E_tot = -141.2 eV per cell


# 5
A plane-wave DFT calculation with PBE-GGA was carried out for an optimized crystal structure of CaFe2Os.

```
data_CaFe2Os
_chemical_formula_sum 'Ca1 Fe2 Os1'
_space_group_name_H-M_alt 'P 1 m 1'
_space_group_IT_number 6
_cell_length_a 2.764
_cell_length_b 4.153
_cell_length_c 5.797
_cell_angle_alpha 90.00
_cell_angle_beta 102.87
_cell_angle_gamma 90.00
loop_
_space_group_symop_operation_xyz
'x,y,z'
'x,-y,z'
loop_
_atom_site_label
_atom_site_type_symbol
_atom_site_fract_x
_atom_site_fract_y
_atom_site_fract_z
Ca1 Ca 0.000 0.000 0.000
Fe1 Fe 0.656 0.000 0.508
Fe2 Fe 0.657 0.500 0.284
Os1 Os 0.295 0.500 0.649
```

Results
theoretical density = 8.8 g/cm³
offset from the most stable computed form = 0.184 eV/atom
M_tot = 4.221 Bohr magnetons per cell
E_tot = -28.2 eV per cell


# 6
A plane-wave DFT calculation with PBE-GGA was carried out for an optimized crystal structure of ThInH8Os2.

```
data_ThInH8Os2
_chemical_formula_sum 'Th2 In2 H16 Os4'
_space_group_name_H-M_alt 'C 1 2/m 1'
_space_group_IT_number 12
_cell_length_a 8.495
_cell_length_b 4.460
_cell_length_c 6.176
_cell_angle_alpha 90.00
_cell_angle_beta 110.28
_cell_angle_gamma 90.00
loop_
_space_group_symop_operation_xyz
'x,y,z'
'-x,-y,-z'
'-x,y,-z'
'x,-y,z'
'x+1/2,y+1/2,z'
'-x+1/2,-y+1/2,-z'
'-x+1/2,y+1/2,-z'
'x+1/2,-y+1/2,z'
loop_
_atom_site_label
_atom_site_type_symbol
_atom_site_fract_x
_atom_site_fract_y
_atom_site_fract_z
Th1 Th 0.000 0.000 0.000
In1 In 0.000 0.500 0.500
H1 H 0.089 0.500 0.163
H2 H 0.189 0.258 0.834
H3 H 0.193 0.000 0.368
Os1 Os 0.209 0.000 0.647
```

Results
theoretical density = 11.1 g/cm³
M_tot = 0.000 Bohr magnetons per cell
E_tot = -120.8 eV per cell


# 7
A plane-wave DFT calculation with PBE-GGA was carried out for an optimized crystal structure of Co3GeBi.

```
data_Co3GeBi
_chemical_formula_sum 'Co3 Ge1 Bi1'
_space_group_name_H-M_alt 'P m -3 m'
_space_group_IT_number 221
_space_group_name_Hall '-P 4 2 3'
_cell_length_a 4.422
_cell_length_b 4.422
_cell_length_c 4.422
_cell_angle_alpha 90.00
_cell_angle_beta 90.00
_cell_angle_gamma 90.00
loop_
_atom_site_label
_atom_site_type_symbol
_atom_site_fract_x
_atom_site_fract_y
_atom_site_fract_z
Co1 Co 0.000 0.000 0.500
Ge1 Ge 0.000 0.000 0.000
Bi1 Bi 0.500 0.500 0.500
```

Results
theoretical density = 8.8 g/cm³
offset from the most stable computed form = 0.000 eV/atom
M_tot = 2.988 Bohr magnetons per cell
E_tot = -26.7 eV per cell


# 8
A plane-wave DFT calculation with PBE-GGA was carried out for an optimized crystal structure of TaRh2C2.

```
data_TaRh2C2
_chemical_formula_sum 'Ta2 Rh4 C4'
_space_group_name_H-M_alt 'P 4/m b m'
_space_group_IT_number 127
_space_group_name_Hall '-P 4 2ab'
_cell_length_a 6.204
_cell_length_b 6.204
_cell_length_c 3.142
_cell_angle_alpha 90.00
_cell_angle_beta 90.00
_cell_angle_gamma 90.00
loop_
_atom_site_label
_atom_site_type_symbol
_atom_site_fract_x
_atom_site_fract_y
_atom_site_fract_z
Ta1 Ta 0.000 0.000 0.000
Rh1 Rh 0.155 0.345 0.500
C1 C 0.193 0.693 0.000
```

Results
theoretical density = 11.3 g/cm³
offset from the most stable computed form = 0.101 eV/atom
M_tot = 0.000 Bohr magnetons per cell
E_tot = -84.0 eV per cell


Which of these has the highest M_tot?
CaFe2Os